20
Lattice="5.737 0.000 0.000 0.000 5.757 0.000 -5.705 0.000 8.287" Properties=species:S:1:pos:R:3 comment="Sr2HfMoO6 GGA+U optimized geometry" spacegroup=P2_1/c rho_g_cm3=6.62 total_energy_ev_per_cell=-157.2 total_magnetization_mub_per_cell=4.00 pbc="T T T"
Sr -0.002 0.150 2.071
Sr -2.854 2.728 6.214
Sr 2.887 3.029 2.073
Sr 0.034 5.606 6.217
Hf -2.852 0.000 4.144
Hf 0.000 2.878 0.000
Mo 2.869 0.000 0.000
Mo 0.016 2.878 4.144
O -4.461 1.221 8.025
O -1.608 1.657 3.881
O -4.049 4.125 8.029
O -1.197 4.510 3.886
O -2.500 0.080 6.185
O 0.352 2.798 2.042
O -0.320 2.959 6.246
O 2.533 5.676 2.102
O 1.229 1.247 4.402
O 4.081 1.631 0.258
O 1.641 4.099 4.406
O 4.493 4.536 0.263